Below is a crystal of ZrTe relaxed with PBEsol, with properties calculated at the meta-GGA SCAN level.

Cell lengths 3.6810, 3.6810, 8.0224 Å; angles 90.00, 90.00, 120.00 degrees
Element x y z (fractional)
Zr 0.3333 0.6667 0.2500
Zr 0.6667 0.3333 0.7500
Te 0.0000 0.0000 0.0000
Te 0.0000 0.0000 0.5000

Total magnetization = 0.000 Bohr magnetons per cell
Energy relative to the elements, uncorrected = -1.41 eV/f.u.

Below is a crystal of Be3Tl relaxed with PBEsol, with properties calculated at the meta-GGA SCAN level.

Cell lengths 4.7580, 4.7580, 4.7580 Å; angles 142.21, 68.22, 125.51 degrees
Element x y z (fractional)
Be 0.0000 0.0000 0.0000
Be 0.4101 0.6665 0.7436
Be 0.9229 0.6665 0.2564
Tl 0.5201 0.0201 0.5000

Total magnetization = 0.000 Bohr magnetons per cell
Relative energy among the computed polymorphs = 217 meV per atom

Below is a crystal of CeTe relaxed with PBEsol, with properties calculated at the meta-GGA SCAN level.

Cell lengths 4.4082, 4.4082, 4.4082 Å; angles 60.00, 60.00, 60.00 degrees
Element x y z (fractional)
Ce 0.0000 0.0000 0.0000
Te 0.5000 0.5000 0.5000

Total magnetization = 1.278 Bohr magnetons per cell
Energy relative to the elements, uncorrected = -3.02 eV/f.u.